Here is an optimized crystal structure of CaPmH4 from Alexandria. Energies are from PBE.

```
CaPmH4
1.0
3.801 0.000 -0.001
0.000 3.801 -0.002
0.002 0.003 5.447
H Ca Pm
4 1 1
direct
0.001 0.497 0.749 H
0.001 0.497 0.247 H
0.501 0.997 0.749 H
0.501 0.997 0.247 H
0.001 0.997 0.498 Ca
0.501 0.497 0.998 Pm
```

The symmetry is P4/mmm (123). The size of the total moment comes out at 0.000 μB per cell. The value obtained for the distance to the lowest polymorph of the same formula is 3 meV/atom.